# 1
# MgZr2Al, relaxed, DFT GGA-PBEsol
# E in eV per cell: -24.88
# Energy of formation in eV/atom: -0.224
data_MgZr2Al
_cell_length_a 2.990
_cell_length_b 2.990
_cell_length_c 9.080
_cell_angle_alpha 90.00
_cell_angle_beta 90.00
_cell_angle_gamma 90.00
_space_group_name_H-M_alt 'P 4/m m m'
_space_group_IT_number 123
_space_group_name_Hall '-P 4 2'
loop_
_atom_site_label
_atom_site_fract_x
_atom_site_fract_y
_atom_site_fract_z
Mg1 0.000 0.000 0.000
Zr1 0.500 0.500 0.279
Al1 0.000 0.000 0.500


# 2
# MgZr2Al, relaxed, DFT GGA-PBEsol
# E in eV per cell: -49.42
# Energy of formation in eV/atom: -0.180
data_MgZr2Al
_cell_length_a 6.187
_cell_length_b 8.487
_cell_length_c 3.039
_cell_angle_alpha 90.00
_cell_angle_beta 90.00
_cell_angle_gamma 90.00
_space_group_name_H-M_alt 'C m m m'
_space_group_IT_number 65
_space_group_name_Hall '-C 2 2'
loop_
_atom_site_label
_atom_site_fract_x
_atom_site_fract_y
_atom_site_fract_z
Mg1 0.000 0.000 0.000
Zr1 0.250 0.250 0.500
Al1 0.000 0.500 0.000


Q: The highest E belongs to which entry?
A: number 1